A plane-wave DFT calculation with PBE with a Hubbard U was carried out for crystalline CrCoRuO6 at its relaxed geometry.

Structure (POSCAR):
```
CrCoRuO6
1.0
4.485 0.000 0.000
0.000 4.485 0.000
0.000 0.000 8.966
Cr Co Ru O
2 2 2 12
Direct
0.500 0.500 0.500 Cr
0.000 0.000 0.000 Cr
0.500 0.500 0.168 Co
0.000 0.000 0.668 Co
0.500 0.500 0.833 Ru
0.000 0.000 0.333 Ru
0.191 0.809 0.503 O
0.809 0.191 0.503 O
0.309 0.309 0.003 O
0.691 0.691 0.003 O
0.201 0.799 0.168 O
0.799 0.201 0.168 O
0.299 0.299 0.668 O
0.701 0.701 0.668 O
0.802 0.198 0.830 O
0.198 0.802 0.830 O
0.698 0.698 0.330 O
0.302 0.302 0.330 O
```

Output
The total magnetic moment is 3.096 μB per formula unit. The total energy is -6.856 eV/atom. The density of states at the Fermi level comes out at 0.49 states/eV/atom.